VASP calculation (GGA-PBE) on a geometry-optimized CeYAlHg structure.

Geometry as POSCAR:
```
CeYAlHg
1.0
7.461 0.000 0.000
0.000 7.461 0.000
0.000 0.000 7.461
Ce Y Al Hg
4 4 4 4
direct
0.000 0.000 0.000
0.000 0.500 0.500
0.500 0.000 0.500
0.500 0.500 0.000
0.000 0.000 0.500
0.000 0.500 0.000
0.500 0.000 0.000
0.500 0.500 0.500
0.250 0.250 0.750
0.250 0.750 0.250
0.750 0.250 0.250
0.750 0.750 0.750
0.250 0.250 0.250
0.250 0.750 0.750
0.750 0.250 0.750
0.750 0.750 0.250
```

For the total energy, the calculation gives -71.1 eV for the cell shown. As for the space group: F-43m. The density of states at the Fermi level is 38.2 states/eV/cell. The value obtained for the magnetization is 0.7 μB per formula unit. The formation energy from the elements is -0.331 eV per atom.

VASP calculation (GGA-PBE) on a geometry-optimized Ba4Pa3PbO12 structure.

Geometry as POSCAR:
```
Ba4Pa3PbO12
1.0
-4.533 4.533 4.533
4.533 -4.533 4.533
4.533 4.533 -4.533
Ba Pa Pb O
4 3 1 12
direct
0.000 0.000 0.500
0.000 0.500 0.000
0.500 0.000 0.000
0.500 0.500 0.500
0.000 0.500 0.500
0.500 0.000 0.500
0.500 0.500 0.000
0.000 0.000 0.000
0.000 0.269 0.269
0.000 0.731 0.731
0.250 0.500 0.750
0.250 0.750 0.500
0.269 0.000 0.269
0.269 0.269 0.000
0.500 0.250 0.750
0.500 0.750 0.250
0.731 0.000 0.731
0.731 0.731 0.000
0.750 0.250 0.500
0.750 0.500 0.250
```

For the total energy, the calculation gives -159.3 eV for the cell shown. As for the space group: Im-3m. The density of states at the Fermi level is 7.8 states/eV/cell. The value obtained for the magnetization is 1.0 μB per formula unit. For the energy relative to the elements, uncorrected, the calculation gives -69.1 kcal/mol of atoms.

VASP calculation (GGA-PBE) on a geometry-optimized CsTiI4 structure.

Geometry as POSCAR:
```
CsTiI4
1.0
8.924 -4.027 0.000
8.924 4.027 0.000
-1.584 0.000 7.031
Cs Ti I
2 2 8
direct
0.199 0.199 0.210
0.801 0.801 0.790
0.481 0.481 0.680
0.519 0.519 0.320
0.179 0.624 0.400
0.272 0.728 0.000
0.311 0.311 0.767
0.376 0.821 0.600
0.624 0.179 0.400
0.689 0.689 0.233
0.728 0.272 0.000
0.821 0.376 0.600
```

For the total energy, the calculation gives -41.0 eV for the cell shown. As for the space group: C2/m. The density of states at the Fermi level is 4.0 states/eV/cell. The value obtained for the magnetization is 0.0 μB per formula unit. For the energy relative to the elements, uncorrected, the calculation gives -21.3 kcal/mol of atoms.

VASP calculation (GGA-PBE) on a geometry-optimized Rb6In3I14 structure.

Geometry as POSCAR:
```
Rb6In3I14
1.0
13.538 0.000 0.000
-6.769 11.724 0.000
0.000 0.000 7.288
Rb In I
6 3 14
direct
0.010 0.455 0.000
0.324 0.214 0.475
0.445 0.990 0.000
0.545 0.555 0.000
0.786 0.110 0.475
0.890 0.676 0.475
0.000 0.000 0.075
0.333 0.667 0.592
0.667 0.333 0.729
0.000 0.000 0.698
0.080 0.218 0.214
0.138 0.920 0.214
0.196 0.749 0.726
0.251 0.448 0.726
0.333 0.667 0.214
0.433 0.252 0.959
0.513 0.099 0.500
0.552 0.804 0.726
0.586 0.487 0.500
0.748 0.182 0.959
0.782 0.862 0.214
0.818 0.567 0.959
0.901 0.414 0.500
```

For the total energy, the calculation gives -59.2 eV for the cell shown. As for the space group: P3. The density of states at the Fermi level is 7.0 states/eV/cell. The value obtained for the magnetization is 0.0 μB per formula unit. For the energy relative to the elements, uncorrected, the calculation gives -23.5 kcal/mol of atoms.

VASP calculation (GGA-PBE) on a geometry-optimized Rb2Na9Hg3 structure.

Geometry as POSCAR:
```
Rb2Na9Hg3
1.0
8.704 -4.775 0.000
8.704 4.775 0.000
-5.838 0.000 12.118
Rb Na Hg
4 18 6
direct
0.109 0.255 0.243
0.255 0.109 0.743
0.745 0.891 0.257
0.891 0.745 0.757
0.010 0.876 0.082
0.124 0.990 0.418
0.188 0.362 0.558
0.224 0.574 0.250
0.319 0.504 0.974
0.329 0.671 0.750
0.362 0.188 0.058
0.426 0.776 0.250
0.496 0.681 0.526
0.504 0.319 0.474
0.574 0.224 0.750
0.638 0.812 0.942
0.671 0.329 0.250
0.681 0.496 0.026
0.776 0.426 0.750
0.812 0.638 0.442
0.876 0.010 0.582
0.990 0.124 0.918
0.000 0.500 0.000
0.154 0.665 0.487
0.335 0.846 0.013
0.500 0.000 0.500
0.665 0.154 0.987
0.846 0.335 0.513
```

For the total energy, the calculation gives -32.6 eV for the cell shown. As for the space group: C2/c. The density of states at the Fermi level is 12.1 states/eV/cell. The value obtained for the magnetization is 0.0 μB per formula unit. The formation energy from the elements is -0.115 eV per atom.

VASP calculation (GGA-PBE) on a geometry-optimized Zr2FeSb structure.

Geometry as POSCAR:
```
Zr2FeSb
1.0
6.736 0.000 0.000
0.000 6.736 0.000
0.000 0.000 6.736
Zr Fe Sb
8 4 4
direct
0.000 0.000 0.000
0.000 0.500 0.500
0.250 0.250 0.250
0.250 0.750 0.750
0.500 0.000 0.500
0.500 0.500 0.000
0.750 0.250 0.750
0.750 0.750 0.250
0.000 0.000 0.500
0.000 0.500 0.000
0.500 0.000 0.000
0.500 0.500 0.500
0.250 0.250 0.750
0.250 0.750 0.250
0.750 0.250 0.250
0.750 0.750 0.750
```

For the total energy, the calculation gives -117.5 eV for the cell shown. As for the space group: F-43m. The density of states at the Fermi level is 15.1 states/eV/cell. The value obtained for the magnetization is 2.7 μB per formula unit. For the energy relative to the elements, uncorrected, the calculation gives 1.8 kcal/mol of atoms.

VASP calculation (GGA-PBE) on a geometry-optimized Ti3InGa structure.

Geometry as POSCAR:
```
Ti3InGa
1.0
4.982 0.000 0.000
0.000 4.982 0.000
0.000 0.000 4.982
Ti In Ga
3 1 1
direct
0.000 0.000 0.500
0.000 0.500 0.000
0.500 0.000 0.000
0.000 0.000 0.000
0.500 0.500 0.500
```

For the total energy, the calculation gives -24.1 eV for the cell shown. As for the space group: Pm-3m. The density of states at the Fermi level is 2.9 states/eV/cell. The value obtained for the magnetization is 1.9 μB per formula unit. The value obtained for the energy relative to the lowest polymorph listed for this composition is 1226 meV per atom. The formation energy from the elements is 1.076 eV per atom.

VASP calculation (GGA-PBE) on a geometry-optimized BaZr2Cu structure.

Geometry as POSCAR:
```
BaZr2Cu
1.0
3.416 0.000 0.000
0.000 3.416 0.000
-0.020 0.000 8.997
Ba Zr Cu
1 2 1
direct
0.000 0.000 0.000
0.000 0.000 0.424
0.501 0.500 0.642
0.499 0.500 0.273
```

For the total energy, the calculation gives -22.5 eV for the cell shown. As for the space group: Pm. The density of states at the Fermi level is 2.7 states/eV/cell. The value obtained for the magnetization is 0.0 μB per formula unit. The value obtained for the energy relative to the lowest polymorph listed for this composition is 0 meV per atom. The formation energy from the elements is 0.144 eV per atom.

Copy entry 5 word for word.
VASP calculation (GGA-PBE) on a geometry-optimized Rb2Na9Hg3 structure.

Geometry as POSCAR:
```
Rb2Na9Hg3
1.0
8.704 -4.775 0.000
8.704 4.775 0.000
-5.838 0.000 12.118
Rb Na Hg
4 18 6
direct
0.109 0.255 0.243
0.255 0.109 0.743
0.745 0.891 0.257
0.891 0.745 0.757
0.010 0.876 0.082
0.124 0.990 0.418
0.188 0.362 0.558
0.224 0.574 0.250
0.319 0.504 0.974
0.329 0.671 0.750
0.362 0.188 0.058
0.426 0.776 0.250
0.496 0.681 0.526
0.504 0.319 0.474
0.574 0.224 0.750
0.638 0.812 0.942
0.671 0.329 0.250
0.681 0.496 0.026
0.776 0.426 0.750
0.812 0.638 0.442
0.876 0.010 0.582
0.990 0.124 0.918
0.000 0.500 0.000
0.154 0.665 0.487
0.335 0.846 0.013
0.500 0.000 0.500
0.665 0.154 0.987
0.846 0.335 0.513
```

For the total energy, the calculation gives -32.6 eV for the cell shown. As for the space group: C2/c. The density of states at the Fermi level is 12.1 states/eV/cell. The value obtained for the magnetization is 0.0 μB per formula unit. The formation energy from the elements is -0.115 eV per atom.